Below is a relaxed structure of Cs2AcMnS4, with properties calculated at the PBE level.

a b c (Å): 8.313 8.313 8.789
angles (deg): 108.36 108.36 90.78
Sites, in units of the cell vectors:
Cs  0.000  0.000  0.000
Cs  0.000  0.000  0.500
Cs  0.000  0.500  0.000
Cs  0.500  0.000  0.500
Ac  0.500  0.500  0.000
Ac  0.500  0.500  0.500
Mn  0.000  0.500  0.500
Mn  0.500  0.000  0.000
S  0.180  0.650  0.422
S  0.245  0.374  0.633
S  0.350  0.820  0.078
S  0.374  0.245  0.133
S  0.626  0.755  0.867
S  0.650  0.180  0.922
S  0.755  0.626  0.367
S  0.820  0.350  0.578

Calculated values
uncorrected formation energy = -1.172 eV per atom
SG = C2/c (15)